Compound: RhWOF2
Source: Alexandria
Functional: PBE+U
Structure: optimized geometry

Lattice parameters (Å, degrees): 4.5026 4.5026 3.7553 90.00 90.00 90.00
Atoms (fractional coordinates):
Rh 0.0000 0.0000 0.0000
W 0.5000 0.5000 0.5000
O 0.0000 0.0000 0.5000
F 0.0000 0.5000 0.0000
F 0.5000 0.0000 0.0000

Energy above the lowest structure with this stoichiometry   0.409 eV/atom
V   15.227 Å³ per atom
Energy   -4.914 eV per atom